The following is a DFT calculation (PBE with a Hubbard U) of crystalline LiMnP2O8 at its relaxed geometry.

Geometry as POSCAR:
```
LiMnP2O8
1.0
4.475 -2.362 0.000
4.475 2.362 0.000
-2.271 0.000 13.296
Li Mn P O
2 2 4 16
direct
0.037 0.963 0.750
0.963 0.037 0.250
0.000 0.000 0.000
0.000 0.000 0.500
0.326 0.377 0.112
0.377 0.326 0.612
0.623 0.674 0.388
0.674 0.623 0.888
0.066 0.300 0.086
0.141 0.753 0.118
0.226 0.568 0.532
0.247 0.859 0.382
0.266 0.478 0.719
0.300 0.066 0.586
0.432 0.774 0.968
0.478 0.266 0.219
0.522 0.734 0.781
0.568 0.226 0.032
0.700 0.934 0.414
0.734 0.522 0.281
0.753 0.141 0.618
0.774 0.432 0.468
0.859 0.247 0.882
0.934 0.700 0.914
```

Computed properties:
space group	C2/c, No. 15
final energy	-6.7896	eV per atom